Entry 1:
First-principles (PBE) data for a relaxed structure of Sn2GeOsRu, as listed in Alexandria.

ΔH_f (0 K) = 1559 meV per atom

a = 5.2013 Å, b = 5.2013 Å, c = 4.5467 Å
α = 90.00°, β = 90.00°, γ = 90.00°
Last column: nearest neighbours and their distance in Å.
Space group P4/mmm (No. 123)
One atom of each set of equivalent atoms:
Sn: 0.0000 0.5000 0.0000  2 Ge 2.60
Ge: 0.0000 0.0000 0.0000  2 Os 2.27
Os: 0.0000 0.0000 0.5000  2 Ge 2.27
Ru: 0.5000 0.5000 0.5000  8 Sn 3.45, 4 Os 3.68


Entry 2:
First-principles (PBE) data for a relaxed structure of TbGe2OsRu, as listed in Alexandria.

ΔH_f (0 K) = -524 meV per atom

a = 4.2683 Å, b = 4.2683 Å, c = 9.9204 Å
α = 90.00°, β = 90.00°, γ = 90.00°
Last column: nearest neighbours and their distance in Å.
Space group I-4m2 (No. 119)
One atom of each set of equivalent atoms:
Tb: 0.0000 0.0000 0.0000  4 Os 3.27, 4 Ru 3.27, 8 Ge 3.28
Ge: 0.0000 0.0000 0.3713  2 Ru 2.45, 2 Os 2.45, 1 Ge 2.55
Os: 0.0000 0.5000 0.2500  4 Ge 2.45
Ru: 0.0000 0.5000 0.7500  4 Ge 2.45


Entry 3:
First-principles (PBE) data for a relaxed structure of TiGeOsRu, as listed in Alexandria.

ΔH_f (0 K) = -535 meV per atom

a = 6.1066 Å, b = 6.1066 Å, c = 6.1066 Å
α = 90.00°, β = 90.00°, γ = 90.00°
Last column: nearest neighbours and their distance in Å.
Space group F-43m (No. 216)
One atom of each set of equivalent atoms:
Ti: 0.0000 0.0000 0.0000  4 Ru 2.64, 4 Os 2.64
Ge: 0.0000 0.0000 0.5000  4 Ru 2.64, 4 Os 2.64
Os: 0.2500 0.2500 0.2500  4 Ge 2.64, 4 Ti 2.64
Ru: 0.2500 0.2500 0.7500  4 Ti 2.64, 4 Ge 2.64


Entry 4:
First-principles (PBE) data for a relaxed structure of UGeOsRu, as listed in Alexandria.

ΔH_f (0 K) = -59 meV per atom

a = 6.5068 Å, b = 6.5068 Å, c = 6.5068 Å
α = 90.00°, β = 90.00°, γ = 90.00°
Last column: nearest neighbours and their distance in Å.
Space group F-43m (No. 216)
One atom of each set of equivalent atoms:
U: 0.0000 0.0000 0.0000  4 Ru 2.82, 4 Os 2.82
Ge: 0.0000 0.0000 0.5000  4 Os 2.82, 4 Ru 2.82
Os: 0.2500 0.2500 0.2500  4 Ge 2.82, 4 U 2.82
Ru: 0.2500 0.2500 0.7500  4 Ge 2.82, 4 U 2.82


Entry 5:
First-principles (PBE) data for a relaxed structure of YGe2OsRu, as listed in Alexandria.

ΔH_f (0 K) = -521 meV per atom

a = 4.2695 Å, b = 4.2695 Å, c = 9.9074 Å
α = 90.00°, β = 90.00°, γ = 90.00°
Last column: nearest neighbours and their distance in Å.
Space group I-4m2 (No. 119)
One atom of each set of equivalent atoms:
Y: 0.0000 0.0000 0.0000  4 Ru 3.27, 4 Os 3.27, 8 Ge 3.28
Ge: 0.0000 0.0000 0.3712  2 Os 2.45, 2 Ru 2.45, 1 Ge 2.55
Os: 0.0000 0.5000 0.7500  4 Ge 2.45
Ru: 0.0000 0.5000 0.2500  4 Ge 2.45


Entry 6:
First-principles (PBE) data for a relaxed structure of GeOs2S, as listed in Alexandria.

formation energy without anion corrections = 544 meV/atom
excess energy over the best structure of this formula in the dataset = 27.8 meV/atom

a = 6.0770 Å, b = 6.0770 Å, c = 6.0770 Å
α = 90.00°, β = 90.00°, γ = 90.00°
Last column: nearest neighbours and their distance in Å.
Space group Fm-3m (No. 225)
One atom of each set of equivalent atoms:
Ge: 0.0000 0.0000 0.0000  8 Os 2.63
Os: 0.2500 0.2500 0.2500  4 S 2.63, 4 Ge 2.63
S: 0.0000 0.0000 0.5000  8 Os 2.63


Entry 7:
First-principles (PBE) data for a relaxed structure of Ge2OsS, as listed in Alexandria.

formation energy without anion corrections = 383 meV/atom

a = 5.7056 Å, b = 5.7056 Å, c = 10.8848 Å
α = 90.00°, β = 90.00°, γ = 90.00°
Last column: nearest neighbours and their distance in Å.
Space group I-42d (No. 122)
One atom of each set of equivalent atoms:
Ge: 0.2310 0.2500 0.1250  2 Os 2.37, 2 S 2.50
Os: 0.0000 0.0000 0.0000  4 Ge 2.37
S: 0.0000 0.0000 0.5000  4 Ge 2.50


Entry 8:
First-principles (PBE) data for a relaxed structure of GeOsS3, as listed in Alexandria.

formation energy without anion corrections = 569 meV/atom
excess energy over the best structure of this formula in the dataset = 0.0 meV/atom

a = 4.6525 Å, b = 4.6525 Å, c = 4.6525 Å
α = 90.00°, β = 90.00°, γ = 90.00°
Last column: nearest neighbours and their distance in Å.
Space group Pm-3m (No. 221)
One atom of each set of equivalent atoms:
Ge: 0.0000 0.0000 0.0000  12 S 3.29
Os: 0.5000 0.5000 0.5000  6 S 2.33
S: 0.0000 0.5000 0.5000  2 Os 2.33


Entry 9:
First-principles (PBE) data for a relaxed structure of GeOs2S, as listed in Alexandria.

formation energy without anion corrections = 517 meV/atom
excess energy over the best structure of this formula in the dataset = 0.0 meV/atom

a = 5.4445 Å, b = 5.4445 Å, c = 10.3573 Å
α = 90.00°, β = 90.00°, γ = 90.00°
Last column: nearest neighbours and their distance in Å.
Space group I-42d (No. 122)
One atom of each set of equivalent atoms:
Ge: 0.0000 0.0000 0.0000  4 Os 2.43
Os: 0.2177 0.2500 0.6250  2 S 2.22, 2 Ge 2.43
S: 0.0000 0.0000 0.5000  4 Os 2.22


Entry 10:
First-principles (PBE) data for a relaxed structure of Ge2SbOsS, as listed in Alexandria.

formation energy without anion corrections = 1786 meV/atom

a = 5.2733 Å, b = 5.2733 Å, c = 4.8295 Å
α = 90.00°, β = 90.00°, γ = 90.00°
Last column: nearest neighbours and their distance in Å.
Space group P4/mmm (No. 123)
One atom of each set of equivalent atoms:
Ge: 0.0000 0.5000 0.0000  2 Sb 2.64
Sb: 0.0000 0.0000 0.0000  2 S 2.41, 4 Ge 2.64
Os: 0.5000 0.5000 0.5000  8 Ge 3.58, 4 S 3.73
S: 0.0000 0.0000 0.5000  2 Sb 2.41


Entry 11:
First-principles (PBE) data for a relaxed structure of SnGeOs2S, as listed in Alexandria.

formation energy without anion corrections = 1469 meV/atom

a = 4.6906 Å, b = 4.6906 Å, c = 4.5330 Å
α = 90.00°, β = 90.00°, γ = 90.00°
Last column: nearest neighbours and their distance in Å.
Space group P4/mmm (No. 123)
One atom of each set of equivalent atoms:
Sn: 0.0000 0.0000 0.0000  8 Os 3.26, 4 S 3.32
Ge: 0.5000 0.5000 0.5000  2 S 2.27, 4 Os 2.35
Os: 0.0000 0.5000 0.5000  2 Ge 2.35
S: 0.5000 0.5000 0.0000  2 Ge 2.27


Entry 12:
First-principles (PBE) data for a relaxed structure of SrGeOsS2, as listed in Alexandria.

formation energy without anion corrections = 262 meV/atom

a = 4.9601 Å, b = 4.9601 Å, c = 4.6423 Å
α = 90.00°, β = 90.00°, γ = 90.00°
Last column: nearest neighbours and their distance in Å.
Space group P4/mmm (No. 123)
One atom of each set of equivalent atoms:
Sr: 0.0000 0.0000 0.0000  8 S 3.40, 4 Os 3.51
Ge: 0.5000 0.5000 0.5000  2 Os 2.32, 4 S 2.48
Os: 0.5000 0.5000 0.0000  2 Ge 2.32
S: 0.0000 0.5000 0.5000  2 Ge 2.48


Entry 13:
First-principles (PBE) data for a relaxed structure of Th6GeOs3S2, as listed in Alexandria.

formation energy without anion corrections = -850 meV/atom

a = 18.4145 Å, b = 4.1245 Å, c = 8.5213 Å
α = 90.00°, β = 105.79°, γ = 90.00°
Last column: nearest neighbours and their distance in Å.
Space group C2/m (No. 12)
One atom of each set of equivalent atoms:
Th: 0.0040 0.0000 0.2350  3 Os 2.86-2.91, 2 Ge 3.07, 1 S 3.09
Th: 0.1611 0.5000 0.1010  3 Os 2.84-2.86, 3 S 3.01-3.06
Th: 0.1729 0.5000 0.5750  3 Os 2.82-2.89, 1 Ge 3.07, 2 S 3.08
Ge: 0.0000 0.5000 0.5000  6 Th 3.07
Os: 0.0000 0.5000 0.0000  6 Th 2.86
Os: 0.1681 0.0000 0.3343  6 Th 2.82-2.91
S: 0.1702 0.0000 0.8423  6 Th 3.01-3.09


Entry 14:
First-principles (PBE) data for a relaxed structure of Th6Ge2OsS3, as listed in Alexandria.

formation energy without anion corrections = -1217 meV/atom

a = 18.0873 Å, b = 4.1652 Å, c = 8.3811 Å
α = 90.00°, β = 101.49°, γ = 90.00°
Last column: nearest neighbours and their distance in Å.
Space group C2/m (No. 12)
One atom of each set of equivalent atoms:
Th: 0.0017 0.0000 0.2652  2 Os 2.87, 1 Ge 2.99, 3 S 3.00-3.04
Th: 0.1618 0.5000 0.5798  1 Os 2.87, 3 S 2.95-2.97, 2 Ge 2.99
Th: 0.1658 0.5000 0.0878  3 S 2.93-2.94, 3 Ge 2.96-2.98
Ge: 0.1662 0.0000 0.8367  6 Th 2.96-2.99
Os: 0.0000 0.5000 0.5000  6 Th 2.87
S: 0.0000 0.5000 0.0000  6 Th 2.94-3.04
S: 0.1710 0.0000 0.3357  6 Th 2.93-3.00


Entry 15:
First-principles (PBE) data for a relaxed structure of Th4Ge2OsS, as listed in Alexandria.

formation energy without anion corrections = -885 meV/atom

a = 7.2847 Å, b = 4.2323 Å, c = 7.3431 Å
α = 90.00°, β = 109.88°, γ = 90.00°
Last column: nearest neighbours and their distance in Å.
Space group P2/m (No. 10)
One atom of each set of equivalent atoms:
Th: 0.2328 0.0000 0.2332  2 Os 2.88, 1 S 3.00, 3 Ge 3.00-3.08
Th: 0.2410 0.5000 0.7556  1 Os 2.91, 2 S 2.97, 3 Ge 2.99-3.08
Ge: 0.5000 0.0000 0.0000  6 Th 2.99-3.00
Ge: 0.5000 0.5000 0.5000  6 Th 3.08
Os: 0.0000 0.5000 0.0000  6 Th 2.88-2.91
S: 0.0000 0.0000 0.5000  6 Th 2.97-3.00


Entry 16:
First-principles (PBE) data for a relaxed structure of Ge2OsWS, as listed in Alexandria.

formation energy without anion corrections = 1429 meV/atom

a = 4.9263 Å, b = 4.9263 Å, c = 4.3564 Å
α = 90.00°, β = 90.00°, γ = 90.00°
Last column: nearest neighbours and their distance in Å.
Space group P4/mmm (No. 123)
One atom of each set of equivalent atoms:
Ge: 0.0000 0.5000 0.0000  2 Os 2.46
Os: 0.0000 0.0000 0.0000  2 S 2.18
W: 0.5000 0.5000 0.5000  8 Ge 3.29, 4 S 3.48
S: 0.0000 0.0000 0.5000  2 Os 2.18


Entry 17:
First-principles (PBE) data for a relaxed structure of GeSb2Os2, as listed in Alexandria.

formation energy without anion corrections = 670 meV/atom
excess energy over the best structure of this formula in the dataset = 154.2 meV/atom

a = 4.7215 Å, b = 4.7215 Å, c = 9.7540 Å
α = 90.00°, β = 90.00°, γ = 90.00°
Last column: nearest neighbours and their distance in Å.
Space group I4/mmm (No. 139)
One atom of each set of equivalent atoms:
Ge: 0.0000 0.0000 0.0000  8 Sb 3.39, 10 Os 3.54-3.69
Sb: 0.0000 0.5000 0.2500  4 Os 2.67
Os: 0.0000 0.0000 0.3782  1 Os 2.38


Entry 18:
First-principles (PBE) data for a relaxed structure of GeSb2Os2, as listed in Alexandria.

formation energy without anion corrections = 515 meV/atom
excess energy over the best structure of this formula in the dataset = 0.0 meV/atom

a = 7.7781 Å, b = 7.7781 Å, c = 3.0856 Å
α = 90.00°, β = 90.00°, γ = 90.00°
Last column: nearest neighbours and their distance in Å.
Space group P4/mbm (No. 127)
One atom of each set of equivalent atoms:
Ge: 0.0000 0.0000 0.0000  4 Os 3.00, 2 Ge 3.09, 8 Sb 3.33
Sb: 0.1527 0.3473 0.5000  6 Os 2.74-2.76
Os: 0.1414 0.6414 0.0000  6 Sb 2.74-2.76, 2 Ge 3.00


Entry 19:
First-principles (PBE) data for a relaxed structure of GeSbOs3, as listed in Alexandria.

formation energy without anion corrections = 1605 meV/atom
excess energy over the best structure of this formula in the dataset = 0.0 meV/atom

a = 4.5832 Å, b = 4.5832 Å, c = 4.5832 Å
α = 90.00°, β = 90.00°, γ = 90.00°
Last column: nearest neighbours and their distance in Å.
Space group Pm-3m (No. 221)
One atom of each set of equivalent atoms:
Ge: 0.0000 0.0000 0.0000  6 Os 2.29
Sb: 0.5000 0.5000 0.5000  12 Os 3.24
Os: 0.0000 0.0000 0.5000  2 Ge 2.29


Entry 20:
First-principles (PBE) data for a relaxed structure of GeSb3Os, as listed in Alexandria.

formation energy without anion corrections = 762 meV/atom
excess energy over the best structure of this formula in the dataset = 0.0 meV/atom

a = 5.1566 Å, b = 5.1566 Å, c = 5.1566 Å
α = 90.00°, β = 90.00°, γ = 90.00°
Last column: nearest neighbours and their distance in Å.
Space group Pm-3m (No. 221)
One atom of each set of equivalent atoms:
Ge: 0.0000 0.0000 0.0000  12 Sb 3.65
Sb: 0.0000 0.5000 0.5000  2 Os 2.58
Os: 0.5000 0.5000 0.5000  6 Sb 2.58


Number 1: calculated volume 24.6 Å³/atom. Number 2: calculated volume 18.1 Å³/atom. Number 3: calculated volume 14.2 Å³/atom. Number 4: calculated volume 17.2 Å³/atom. Number 5: calculated volume 18.1 Å³/atom. Number 6: calculated volume 14.0 Å³/atom. Number 7: calculated volume 22.1 Å³/atom. Number 8: calculated volume 20.1 Å³/atom. Number 9: calculated volume 19.2 Å³/atom. Number 10: calculated volume 26.9 Å³/atom. Number 11: calculated volume 19.9 Å³/atom. Number 12: calculated volume 22.8 Å³/atom. Number 13: calculated volume 25.9 Å³/atom. Number 14: calculated volume 25.8 Å³/atom. Number 15: calculated volume 26.6 Å³/atom. Number 16: calculated volume 21.1 Å³/atom. Number 17: calculated volume 21.7 Å³/atom. Number 18: calculated volume 18.7 Å³/atom. Number 19: calculated volume 19.3 Å³/atom. Number 20: calculated volume 27.4 Å³/atom.